## BaV3O6 (PBE+U)

Data for BaV3O6 after structural relaxation.

## Properties
The calculation puts the uncorrected energy at -7.53 eV/atom.

Lattice parameters (Å, degrees): 5.392 5.463 5.652 62.83 89.65 60.56
Space group P1 (No. 1)
Unique sites:
Ba 0.000 0.000 0.000 (multiplicity 1)
V 0.259 0.491 0.761 (multiplicity 1)
V 0.450 0.088 0.364 (multiplicity 1)
V 0.758 0.489 0.296 (multiplicity 1)
O 0.040 0.483 0.078 (multiplicity 1)
O 0.191 0.976 0.532 (multiplicity 1)
O 0.473 0.976 0.080 (multiplicity 1)
O 0.513 0.337 0.542 (multiplicity 1)
O 0.544 0.396 0.077 (multiplicity 1)
O 0.861 0.661 0.528 (multiplicity 1)